Record 1
Entry from OQMD: a geometry-optimized Zr4CuSbC2 structure (PBE).

Values from the calculation:
As for the symmetry: P-6m2. Its calculated total energy is -8.138 eV per atom.

Cell: 3.3800 3.3800 13.8345 Å, 90.00 90.00 120.00°
Element x y z (fractional)
Zr: 0.0000 0.0000 0.1470
Zr: 0.0000 0.0000 0.8530
Zr: 0.3333 0.6667 0.3308
Zr: 0.3333 0.6667 0.6692
Cu: 0.3333 0.6667 0.0000
Sb: 0.0000 0.0000 0.5000
C: 0.6667 0.3333 0.2394
C: 0.6667 0.3333 0.7606


Record 2
Entry from OQMD: a geometry-optimized ScCuC2 structure (PBE).

Values from the calculation:
As for the symmetry: P6_3/mmc. Its calculated total energy is -7.094 eV per atom.

Cell: 3.4033 3.4033 8.5653 Å, 90.00 90.00 120.00°
Element x y z (fractional)
Sc: 0.0000 0.0000 0.0000
Sc: 0.0000 0.0000 0.5000
Cu: 0.3333 0.6667 0.2500
Cu: 0.6667 0.3333 0.7500
C: 0.3333 0.6667 0.6665
C: 0.3333 0.6667 0.8335
C: 0.6667 0.3333 0.1665
C: 0.6667 0.3333 0.3335


Record 3
Entry from OQMD: a geometry-optimized Sc2CuC structure (PBE).

Values from the calculation:
As for the symmetry: C2/c. Its calculated total energy is -6.709 eV per atom.

Cell: 5.7451 5.7451 13.8991 Å, 101.93 101.93 59.93°
Element x y z (fractional)
Sc: 0.0330 0.8670 0.5990
Sc: 0.1330 0.9670 0.9010
Sc: 0.1958 0.3616 0.0872
Sc: 0.3032 0.4722 0.4128
Sc: 0.3616 0.1958 0.5872
Sc: 0.4722 0.3032 0.9128
Sc: 0.5278 0.6968 0.0872
Sc: 0.6384 0.8042 0.4128
Sc: 0.6968 0.5278 0.5872
Sc: 0.8042 0.6384 0.9128
Sc: 0.8670 0.0330 0.0990
Sc: 0.9670 0.1330 0.4010
Cu: 0.0833 0.4199 0.7501
Cu: 0.4063 0.5937 0.2500
Cu: 0.4199 0.0833 0.2501
Cu: 0.5801 0.9167 0.7499
Cu: 0.5937 0.4063 0.7500
Cu: 0.9167 0.5801 0.2499
C: 0.0000 0.5000 0.5000
C: 0.1624 0.6752 0.0000
C: 0.3248 0.8376 0.5000
C: 0.5000 0.0000 0.0000
C: 0.6752 0.1624 0.5000
C: 0.8376 0.3248 0.0000


Record 4
Entry from OQMD: a geometry-optimized ScCu2C3 structure (PBE).

Values from the calculation:
As for the symmetry: P6/mmm. Its calculated total energy is -5.521 eV per atom.

Cell: 4.7665 4.7665 3.1834 Å, 90.00 90.00 120.00°
Element x y z (fractional)
Sc: 0.0000 0.0000 0.0000
Cu: 0.3333 0.6667 0.0000
Cu: 0.6667 0.3333 0.0000
C: 0.0000 0.5000 0.5000
C: 0.5000 0.0000 0.5000
C: 0.5000 0.5000 0.5000


Record 5
Entry from OQMD: a geometry-optimized Sc2CuC structure (PBE).

Values from the calculation:
As for the symmetry: P6_3/mmc. Its calculated total energy is -6.695 eV per atom.

Cell: 3.3761 3.3761 12.9558 Å, 90.00 90.00 120.00°
Element x y z (fractional)
Sc: 0.3333 0.6667 0.0932
Sc: 0.3333 0.6667 0.4068
Sc: 0.6667 0.3333 0.5932
Sc: 0.6667 0.3333 0.9068
Cu: 0.3333 0.6667 0.7500
Cu: 0.6667 0.3333 0.2500
C: 0.0000 0.0000 0.0000
C: 0.0000 0.0000 0.5000


Record 6
Entry from OQMD: a geometry-optimized Sc3CuC2 structure (PBE).

Values from the calculation:
As for the symmetry: P6_3/mmc. Its calculated total energy is -7.203 eV per atom.

Cell: 3.3563 3.3563 18.7743 Å, 90.00 90.00 120.00°
Element x y z (fractional)
Sc: 0.0000 0.0000 0.0000
Sc: 0.0000 0.0000 0.5000
Sc: 0.3333 0.6667 0.1334
Sc: 0.3333 0.6667 0.3666
Sc: 0.6667 0.3333 0.6334
Sc: 0.6667 0.3333 0.8666
Cu: 0.0000 0.0000 0.2500
Cu: 0.0000 0.0000 0.7500
C: 0.3333 0.6667 0.5768
C: 0.3333 0.6667 0.9232
C: 0.6667 0.3333 0.0768
C: 0.6667 0.3333 0.4232